Entry from Alexandria: crystalline Ba2GaTeS5 at its relaxed geometry (PBE).

## Properties
Its space-group type is Cmc2_1. The value obtained for the total magnetic moment is 0.000 μB/atom. Its uncorrected formation energy is -1.0980 eV per atom.

a = 4.315 Å, b = 9.136 Å, c = 12.866 Å
α = 90.00°, β = 90.00°, γ = 103.66°
Element x y z (fractional)
S 0.513 0.027 0.281
S 0.321 0.641 0.363
S 0.347 0.694 0.015
S 0.962 0.924 0.519
S 0.038 0.076 0.019
S 0.679 0.359 0.863
S 0.709 0.418 0.151
S 0.291 0.582 0.651
S 0.653 0.306 0.515
S 0.487 0.973 0.781
Ba 0.864 0.727 0.831
Ba 0.136 0.273 0.331
Ba 0.108 0.215 0.695
Ba 0.892 0.785 0.195
Ga 0.442 0.884 0.428
Ga 0.558 0.116 0.928
Te 0.209 0.417 0.042
Te 0.791 0.583 0.542

Entry from Alexandria: crystalline Pu2VB2Ru5 at its relaxed geometry (PBE).

## Properties
Its space-group type is P4/mbm. The value obtained for the total magnetic moment is 0.828 μB/atom. The value obtained for the calculated formation energy is -0.33 eV per atom.

a = 3.053 Å, b = 9.636 Å, c = 9.636 Å
α = 90.00°, β = 90.00°, γ = 90.00°
Last column: magnetic moment on the atom in μB.
Element x y z (fractional)
Ru 0.500 0.215 0.068  -0.26
Ru 0.500 0.932 0.215  -0.26
Ru 0.500 0.715 0.432  -0.26
Ru 0.500 0.285 0.568  -0.26
Ru 0.500 0.432 0.285  -0.26
Ru 0.500 0.500 0.000  -0.20
Ru 0.500 0.568 0.715  -0.26
Ru 0.500 0.000 0.500  -0.20
Ru 0.500 0.068 0.785  -0.26
Ru 0.500 0.785 0.932  -0.26
B 0.000 0.122 0.622  -0.01
B 0.000 0.622 0.878  -0.01
B 0.000 0.878 0.378  -0.01
B 0.000 0.378 0.122  -0.01
Pu 0.000 0.822 0.678  4.58
Pu 0.000 0.678 0.178  4.58
Pu 0.000 0.322 0.822  4.58
Pu 0.000 0.178 0.322  4.58
V 0.000 0.000 0.000  0.24
V 0.000 0.500 0.500  0.24

- Which of these has the lowest total magnetic moment?
  Ba2GaTeS5